No. 1
A plane-wave DFT calculation with PBE was carried out for Pr3In2Ag2HgPd after structural relaxation.

Properties
The value obtained for the uncorrected energy is -35.48 eV/f.u.

Unit cell a=4.0860 b=7.8962 c=7.8962 alpha=119.26 beta=90.00 gamma=90.00
Last column: nearest neighbours and their distance in Å.
Element x y z (fractional)
1 Hg 0.0000 0.7402 0.7402  2 Pd 2.97, 2 Ag 3.04
2 Pd 0.5000 0.0109 0.0109  4 In 2.81, 2 Hg 2.97
3 Pr 0.5000 0.4097 0.4097  4 Ag 3.17, 1 Pd 3.18, 2 Hg 3.34, 4 In 3.48
4 In 0.0000 0.2519 0.0038  2 Pd 2.81, 2 Ag 2.99-3.00
5 Ag 0.0000 0.6655 0.3237  2 In 2.99-3.00, 1 Hg 3.04, 6 Pr 3.15-3.18
6 In 0.0000 0.0038 0.2519  2 Pd 2.81, 2 Ag 2.99-3.00
7 Pr 0.5000 0.6006 0.9936  4 Ag 3.15-3.18, 1 Pd 3.18, 2 Hg 3.40, 4 In 3.46-3.48
8 Ag 0.0000 0.3237 0.6655  2 In 2.99-3.00, 1 Hg 3.04, 6 Pr 3.15-3.18
9 Pr 0.5000 0.9936 0.6006  4 Ag 3.15-3.18, 1 Pd 3.18, 2 Hg 3.40, 4 In 3.46-3.48

No. 2
A plane-wave DFT calculation with PBE was carried out for Pr3Mg3AgHgIr after structural relaxation.

Properties
The value obtained for the uncorrected energy is -34.94 eV/f.u.

Unit cell a=7.9382 b=7.9382 c=4.1091 alpha=90.00 beta=90.00 gamma=120.00
Last column: nearest neighbours and their distance in Å.
Element x y z (fractional)
1 Pr 0.4317 0.4032 0.0000  2 Ir 3.01, 2 Hg 3.29, 1 Ag 3.32
2 Ag 0.0000 0.0000 0.0000  6 Mg 2.84
3 Pr 0.5968 0.0285 0.0000  2 Ir 3.01, 2 Hg 3.29, 1 Ag 3.32
4 Hg 0.3333 0.6667 0.5000  3 Mg 3.07, 6 Pr 3.29
5 Mg 0.7556 0.7522 0.5000  2 Ag 2.84, 1 Ir 3.03, 1 Hg 3.07
6 Mg 0.9966 0.2444 0.5000  2 Ag 2.84, 1 Ir 3.03, 1 Hg 3.07
7 Ir 0.6667 0.3333 0.5000  6 Pr 3.01, 3 Mg 3.03
8 Mg 0.2478 0.0034 0.5000  2 Ag 2.84, 1 Ir 3.03, 1 Hg 3.07
9 Pr 0.9715 0.5683 0.0000  2 Ir 3.01, 2 Hg 3.29, 1 Ag 3.32

No. 3
A plane-wave DFT calculation with PBE was carried out for Pr3MgAgHg2Ir2 after structural relaxation.

Properties
The value obtained for the uncorrected energy is -41.41 eV/f.u.

Unit cell a=4.0198 b=7.8393 c=7.8393 alpha=121.20 beta=90.00 gamma=90.00
Last column: nearest neighbours and their distance in Å.
Element x y z (fractional)
1 Pr 0.5000 0.4186 0.9954  4 Ir 3.03-3.17, 2 Hg 3.22, 1 Ag 3.25
2 Mg 0.0000 0.2590 0.2590  2 Ag 2.75, 2 Ir 2.79
3 Pr 0.5000 0.5915 0.5915  4 Ir 3.07, 2 Mg 3.25, 1 Ag 3.26
4 Ir 0.0000 0.3272 0.6460  1 Mg 2.79, 2 Hg 3.00-3.01, 4 Pr 3.03-3.07
5 Ir 0.0000 0.6460 0.3272  1 Mg 2.79, 2 Hg 3.00-3.01, 4 Pr 3.03-3.07
6 Ag 0.5000 0.0147 0.0147  2 Mg 2.75, 4 Hg 2.89
7 Hg 0.0000 0.0040 0.7436  2 Ag 2.89, 2 Ir 3.00-3.01, 2 Pr 3.22
8 Pr 0.5000 0.9954 0.4186  4 Ir 3.03-3.17, 2 Hg 3.22, 1 Ag 3.25
9 Hg 0.0000 0.7436 0.0040  2 Ag 2.89, 2 Ir 3.00-3.01, 2 Pr 3.22

No. 4
A plane-wave DFT calculation with PBE was carried out for PrNd2AgHg3Ir2 after structural relaxation.

Properties
The value obtained for the uncorrected energy is -40.03 eV/f.u.

Unit cell a=3.8992 b=7.8948 c=7.8948 alpha=120.08 beta=90.00 gamma=90.00
Last column: nearest neighbours and their distance in Å.
Element x y z (fractional)
1 Ag 0.0000 0.9997 0.9997  6 Hg 2.87-2.88
2 Hg 0.5000 0.7326 0.7326  2 Ag 2.87, 2 Ir 2.93, 2 Pr 3.20
3 Hg 0.5000 0.2678 0.9992  2 Ag 2.88, 2 Ir 2.91-2.93, 2 Nd 3.19
4 Pr 0.0000 0.4115 0.4115  4 Ir 3.09, 2 Hg 3.20, 1 Ag 3.25
5 Ir 0.5000 0.6676 0.3332  3 Hg 2.91-2.93, 4 Nd 3.07-3.08, 2 Pr 3.09
6 Ir 0.5000 0.3332 0.6676  3 Hg 2.91-2.93, 4 Nd 3.07-3.08, 2 Pr 3.09
7 Nd 0.0000 0.0000 0.5882  4 Ir 3.07-3.08, 2 Hg 3.19, 1 Ag 3.25
8 Nd 0.0000 0.5882 0.0000  4 Ir 3.07-3.08, 2 Hg 3.19, 1 Ag 3.25
9 Hg 0.5000 0.9992 0.2678  2 Ag 2.88, 2 Ir 2.91-2.93, 2 Nd 3.19

No. 5
A plane-wave DFT calculation with PBE was carried out for Nd3TlAgHg2Ir2 after structural relaxation.

Properties
The value obtained for the uncorrected energy is -41.90 eV/f.u.

Unit cell a=3.9423 b=7.8782 c=7.8782 alpha=120.02 beta=90.00 gamma=90.00
Last column: nearest neighbours and their distance in Å.
Element x y z (fractional)
1 Ir 0.5000 0.3330 0.6631  1 Tl 2.90, 2 Hg 2.93-2.94, 6 Nd 3.08-3.09
2 Ag 0.0000 0.9990 0.9990  4 Hg 2.88, 2 Tl 2.88, 1 Nd 3.20
3 Nd 0.0000 0.5929 0.5929  4 Ir 3.08, 1 Ag 3.20, 2 Tl 3.24, 4 Hg 3.45
4 Ir 0.5000 0.6631 0.3330  1 Tl 2.90, 2 Hg 2.93-2.94, 6 Nd 3.08-3.09
5 Nd 0.0000 0.4137 0.9972  4 Ir 3.09, 2 Hg 3.19, 1 Ag 3.27
6 Hg 0.5000 0.7336 0.0015  2 Ag 2.88, 2 Ir 2.93-2.94, 2 Nd 3.19
7 Tl 0.5000 0.2660 0.2660  2 Ag 2.88, 2 Ir 2.90
8 Nd 0.0000 0.9972 0.4137  4 Ir 3.09, 2 Hg 3.19, 1 Ag 3.27
9 Hg 0.5000 0.0015 0.7336  2 Ag 2.88, 2 Ir 2.93-2.94, 2 Nd 3.19

No. 6
A plane-wave DFT calculation with PBE was carried out for Pr3TlAgHg2Ir2 after structural relaxation.

Properties
The value obtained for the uncorrected energy is -41.85 eV/f.u.

Unit cell a=3.9735 b=7.9100 c=7.9100 alpha=120.01 beta=90.00 gamma=90.00
Last column: nearest neighbours and their distance in Å.
Element x y z (fractional)
1 Pr 0.0000 0.5917 0.5917  4 Ir 3.10, 1 Ag 3.22, 2 Tl 3.26
2 Tl 0.5000 0.2644 0.2644  2 Ag 2.89, 2 Ir 2.92
3 Hg 0.5000 0.7352 0.0013  2 Ag 2.89, 2 Ir 2.95-2.96, 2 Pr 3.21
4 Ag 0.0000 0.9992 0.9992  4 Hg 2.89, 2 Tl 2.89, 1 Pr 3.22
5 Ir 0.5000 0.3331 0.6633  1 Tl 2.92, 2 Hg 2.95-2.96, 6 Pr 3.10-3.11
6 Pr 0.0000 0.4145 0.9973  4 Ir 3.10-3.11, 2 Hg 3.21, 1 Ag 3.29
7 Pr 0.0000 0.9973 0.4145  4 Ir 3.10-3.11, 2 Hg 3.21, 1 Ag 3.29
8 Hg 0.5000 0.0013 0.7352  2 Ag 2.89, 2 Ir 2.95-2.96, 2 Pr 3.21
9 Ir 0.5000 0.6633 0.3331  1 Tl 2.92, 2 Hg 2.95-2.96, 6 Pr 3.10-3.11

No. 7
A plane-wave DFT calculation with PBE was carried out for KAgHg after structural relaxation.

Properties
The calculation puts the excess energy over the best structure of this formula in the dataset at 0.0 meV per atom. The value obtained for the uncorrected energy is -4.27 eV/f.u.

Unit cell a=5.2663 b=5.2663 c=5.2663 alpha=60.00 beta=60.00 gamma=60.00
Last column: nearest neighbours and their distance in Å.
Element x y z (fractional)
1 Hg 0.2500 0.2500 0.2500  4 Ag 3.22
2 Ag 0.0000 0.0000 0.0000  4 K 3.22, 4 Hg 3.22
3 K 0.7500 0.7500 0.7500  4 Ag 3.22

No. 8
A plane-wave DFT calculation with PBE was carried out for La2AgHg3 after structural relaxation.

Properties
The value obtained for the uncorrected energy is -16.34 eV/f.u.

Unit cell a=10.0813 b=9.4287 c=6.1714 alpha=77.42 beta=65.90 gamma=36.69
Last column: nearest neighbours and their distance in Å.
Element x y z (fractional)
1 La 0.7499 0.2501 0.2501  10 Hg 3.39-3.45, 2 Ag 3.41, 2 La 3.56
2 Hg 0.1696 0.6612 0.3388  1 Ag 2.86, 2 Hg 2.95-2.96
3 Ag 0.6666 0.6666 0.3334  3 Hg 2.86-2.87
4 Hg 0.1692 0.1692 0.8308  1 Ag 2.87, 2 Hg 2.96
5 Hg 0.6612 0.1696 0.8304  1 Ag 2.86, 2 Hg 2.95-2.96
6 Ag 0.3334 0.3334 0.6666  3 Hg 2.86-2.87
7 La 0.2501 0.7499 0.7499  10 Hg 3.39-3.45, 2 Ag 3.41, 2 La 3.56
8 Hg 0.3388 0.8304 0.1696  1 Ag 2.86, 2 Hg 2.95-2.96
9 Hg 0.8308 0.8308 0.1692  1 Ag 2.87, 2 Hg 2.96
10 La 0.7500 0.7500 0.7500  8 Hg 3.39, 4 Ag 3.41, 2 La 3.56
11 La 0.2500 0.2500 0.2500  8 Hg 3.39, 4 Ag 3.41, 2 La 3.56
12 Hg 0.8304 0.3388 0.6612  1 Ag 2.86, 2 Hg 2.95-2.96

No. 9
A plane-wave DFT calculation with PBE was carried out for La2NdMg3AgHg2 after structural relaxation.

Properties
The value obtained for the uncorrected energy is -25.98 eV/f.u.

Unit cell a=4.3288 b=8.0282 c=8.0282 alpha=120.24 beta=90.00 gamma=90.00
Last column: nearest neighbours and their distance in Å.
Element x y z (fractional)
1 Nd 0.0000 0.5893 0.5893  4 Hg 3.23, 1 Ag 3.27, 6 Mg 3.54-3.57
2 Mg 0.5000 0.7612 0.9976  2 Ag 2.88, 2 Hg 3.09-3.18
3 Hg 0.5000 0.3369 0.6656  3 Mg 3.09-3.18, 2 Nd 3.23, 4 La 3.26
4 La 0.0000 0.4116 0.9998  4 Hg 3.26, 1 Ag 3.31, 6 Mg 3.55-3.60
5 Hg 0.5000 0.6656 0.3369  3 Mg 3.09-3.18, 2 Nd 3.23, 4 La 3.26
6 Mg 0.5000 0.2398 0.2398  2 Ag 2.90, 2 Hg 3.10
7 Ag 0.0000 0.9982 0.9982  6 Mg 2.88-2.90
8 La 0.0000 0.9998 0.4116  4 Hg 3.26, 1 Ag 3.31, 6 Mg 3.55-3.60
9 Mg 0.5000 0.9976 0.7612  2 Ag 2.88, 2 Hg 3.09-3.18

No. 10
A plane-wave DFT calculation with PBE was carried out for La2TmMg3AgHg2 after structural relaxation.

Properties
The value obtained for the uncorrected energy is -25.62 eV/f.u.

Unit cell a=4.2846 b=7.9398 c=7.9398 alpha=120.01 beta=90.00 gamma=90.00
Last column: nearest neighbours and their distance in Å.
Element x y z (fractional)
1 Hg 0.5000 0.6621 0.3467  3 Mg 3.01-3.25, 2 Tm 3.13, 4 La 3.26-3.27
2 Mg 0.5000 0.9945 0.7588  2 Ag 2.84, 1 Hg 3.01
3 La 0.0000 0.0005 0.4123  4 Hg 3.26-3.27, 1 Ag 3.31, 6 Mg 3.51-3.59
4 Ag 0.0000 0.9915 0.9915  6 Mg 2.84-2.92, 1 Tm 3.17
5 Mg 0.5000 0.2420 0.2420  2 Ag 2.92, 2 Hg 3.01
6 La 0.0000 0.4123 0.0005  4 Hg 3.26-3.27, 1 Ag 3.31, 6 Mg 3.51-3.59
7 Mg 0.5000 0.7588 0.9945  2 Ag 2.84, 1 Hg 3.01
8 Hg 0.5000 0.3467 0.6621  3 Mg 3.01-3.25, 2 Tm 3.13, 4 La 3.26-3.27
9 Tm 0.0000 0.5916 0.5916  4 Hg 3.13, 1 Ag 3.17

No. 11
A plane-wave DFT calculation with PBE was carried out for LiAgHg2 after structural relaxation.

Properties
The value obtained for the uncorrected energy is -5.90 eV/f.u.

Unit cell a=4.8120 b=4.8120 c=4.8120 alpha=60.00 beta=60.00 gamma=60.00
Last column: nearest neighbours and their distance in Å.
Element x y z (fractional)
1 Li 0.5000 0.5000 0.5000  4 Ag 2.95, 4 Hg 2.95
2 Ag 0.2500 0.2500 0.2500  4 Li 2.95, 4 Hg 2.95
3 Hg 0.7500 0.7500 0.7500  4 Hg 2.95, 4 Li 2.95
4 Hg 0.0000 0.0000 0.0000  4 Hg 2.95, 4 Ag 2.95

No. 12
A plane-wave DFT calculation with PBE was carried out for LiAg2Hg after structural relaxation.

Properties
The value obtained for the uncorrected energy is -8.50 eV/f.u.

Unit cell a=4.6841 b=4.6841 c=4.6841 alpha=60.00 beta=60.00 gamma=60.00
Last column: nearest neighbours and their distance in Å.
Element x y z (fractional)
1 Li 0.5000 0.5000 0.5000  4 Ag 2.87, 4 Hg 2.87
2 Hg 0.2500 0.2500 0.2500  4 Li 2.87, 4 Ag 2.87
3 Ag 0.7500 0.7500 0.7500  4 Li 2.87, 4 Ag 2.87
4 Ag 0.0000 0.0000 0.0000  4 Hg 2.87, 4 Ag 2.87

What did the second record say?
A plane-wave DFT calculation with PBE was carried out for Pr3Mg3AgHgIr after structural relaxation.

Properties
The value obtained for the uncorrected energy is -34.94 eV/f.u.

Unit cell a=7.9382 b=7.9382 c=4.1091 alpha=90.00 beta=90.00 gamma=120.00
Last column: nearest neighbours and their distance in Å.
Element x y z (fractional)
1 Pr 0.4317 0.4032 0.0000  2 Ir 3.01, 2 Hg 3.29, 1 Ag 3.32
2 Ag 0.0000 0.0000 0.0000  6 Mg 2.84
3 Pr 0.5968 0.0285 0.0000  2 Ir 3.01, 2 Hg 3.29, 1 Ag 3.32
4 Hg 0.3333 0.6667 0.5000  3 Mg 3.07, 6 Pr 3.29
5 Mg 0.7556 0.7522 0.5000  2 Ag 2.84, 1 Ir 3.03, 1 Hg 3.07
6 Mg 0.9966 0.2444 0.5000  2 Ag 2.84, 1 Ir 3.03, 1 Hg 3.07
7 Ir 0.6667 0.3333 0.5000  6 Pr 3.01, 3 Mg 3.03
8 Mg 0.2478 0.0034 0.5000  2 Ag 2.84, 1 Ir 3.03, 1 Hg 3.07
9 Pr 0.9715 0.5683 0.0000  2 Ir 3.01, 2 Hg 3.29, 1 Ag 3.32

Question: Which of these has the highest uncorrected energy?
Answer: KAgHg